# 1
# BSe PBE optimized geometry
# Uncorrected formation energy   7 meV/atom
# Crystal system   orthorhombic
# Polymorph energy (0 for the lowest one)   170 meV per atom
data_BSe
_chemical_formula_sum 'B4 Se4'
_cell_length_a 3.2567
_cell_length_b 15.6928
_cell_length_c 2.7908
_cell_angle_alpha 90.00
_cell_angle_beta 90.00
_cell_angle_gamma 90.00
_symmetry_space_group_name_H-M 'P 1'
_symmetry_Int_Tables_number 1
_symmetry_space_group_name_Hall 'P 1'
loop_
_atom_site_label
_atom_site_type_symbol
_atom_site_fract_x
_atom_site_fract_y
_atom_site_fract_z
B1 B 0.0000 0.5349 0.2500
B2 B 0.0000 0.4651 0.7500
B3 B 0.5000 0.0349 0.2500
B4 B 0.5000 0.9651 0.7500
Se1 Se 0.0000 0.1172 0.2500
Se2 Se 0.0000 0.8828 0.7500
Se3 Se 0.5000 0.6172 0.2500
Se4 Se 0.5000 0.3828 0.7500

# 2
# BSe PBE optimized geometry
# Uncorrected formation energy   695 meV/atom
# Crystal system   monoclinic
# Polymorph energy (0 for the lowest one)   858 meV per atom
data_BSe
_chemical_formula_sum 'B2 Se2'
_cell_length_a 4.2289
_cell_length_b 3.3429
_cell_length_c 5.9541
_cell_angle_alpha 90.00
_cell_angle_beta 90.17
_cell_angle_gamma 90.00
_symmetry_space_group_name_H-M 'P 1'
_symmetry_Int_Tables_number 1
_symmetry_space_group_name_Hall 'P 1'
loop_
_atom_site_label
_atom_site_type_symbol
_atom_site_fract_x
_atom_site_fract_y
_atom_site_fract_z
B1 B 0.2498 0.2500 0.9622
B2 B 0.7502 0.7500 0.0378
Se1 Se 0.7493 0.2500 0.8183
Se2 Se 0.2507 0.7500 0.1817

# 3
# BSe PBE optimized geometry
# Uncorrected formation energy   553 meV/atom
# Crystal system   tetragonal
# Polymorph energy (0 for the lowest one)   716 meV per atom
data_BSe
_chemical_formula_sum 'B8 Se8'
_cell_length_a 9.2324
_cell_length_b 9.2324
_cell_length_c 3.1794
_cell_angle_alpha 90.00
_cell_angle_beta 90.00
_cell_angle_gamma 90.00
_symmetry_space_group_name_H-M 'P 1'
_symmetry_Int_Tables_number 1
_symmetry_space_group_name_Hall 'P 1'
loop_
_atom_site_label
_atom_site_type_symbol
_atom_site_fract_x
_atom_site_fract_y
_atom_site_fract_z
B1 B 0.3203 0.8484 0.0000
B2 B 0.6797 0.1516 0.0000
B3 B 0.1516 0.3203 0.0000
B4 B 0.8484 0.6797 0.0000
B5 B 0.8203 0.3484 0.5000
B6 B 0.1797 0.6516 0.5000
B7 B 0.6516 0.8203 0.5000
B8 B 0.3484 0.1797 0.5000
Se1 Se 0.4731 0.2415 0.0000
Se2 Se 0.5269 0.7585 0.0000
Se3 Se 0.7585 0.4731 0.0000
Se4 Se 0.2415 0.5269 0.0000
Se5 Se 0.9731 0.7415 0.5000
Se6 Se 0.0269 0.2585 0.5000
Se7 Se 0.2585 0.9731 0.5000
Se8 Se 0.7415 0.0269 0.5000